Below is LiScTl after structural relaxation, with properties calculated at the PBE level.

Lattice parameters (Å, degrees): 4.1302 4.1302 4.1302 76.31 76.31 76.31
Sites, in units of the cell vectors:
Li1 0.0000 0.0000 0.0000
Sc1 0.3475 0.3475 0.3475
Tl1 0.6974 0.6974 0.6974

Summary:
Calculated volume ... 65 Å³ per cell
Formation enthalpy at 0 K ... -1.346 kcal/mol of atoms
Crystal system ... trigonal
Excess energy over the best structure of this formula in the dataset ... 17.49 kJ/mol of atoms
Density ... 6.519 g/cm³